1.
ThZrTe4 | PBE | relaxed

Cell lengths 8.6798, 6.7039, 8.5321 Å; angles 90.00, 118.76, 90.00 degrees
Closest atoms and distances in Å follow each position.
Space group P2_1/c (No. 14)
Asymmetric unit:
Th: 0.0000 0.0000 0.0000 (multiplicity 2)  6 Te 3.09-3.13
Zr: 0.5000 0.0000 0.0000 (multiplicity 2)  6 Te 2.87-3.02
Te: 0.1998 0.2419 0.3556 (multiplicity 4)  1 Zr 2.87, 2 Th 3.09-3.13
Te: 0.3440 0.7450 0.1619 (multiplicity 4)  2 Zr 2.91-3.02, 1 Th 3.13

- E above lowest polymorph: 0.1084 eV/atom

2.
ThZr2Te3 | PBE | relaxed

Cell lengths 22.1699, 3.8219, 8.2466 Å; angles 90.00, 100.11, 90.00 degrees
Closest atoms and distances in Å follow each position.
Space group C2/m (No. 12)
Asymmetric unit:
Th: 0.1663 0.0000 0.4759 (multiplicity 4)  6 Te 3.19-3.28, 2 Zr 3.45
Zr: 0.0360 0.5000 0.3604 (multiplicity 4)  4 Te 2.84-3.06, 1 Zr 3.02
Zr: 0.1781 0.0000 0.9597 (multiplicity 4)  6 Te 2.88-3.04
Te: 0.0703 0.0000 0.1384 (multiplicity 4)  3 Zr 2.84-3.02
Te: 0.1019 0.5000 0.7194 (multiplicity 4)  4 Zr 3.01-3.06, 2 Th 3.28
Te: 0.2222 0.5000 0.2215 (multiplicity 4)  3 Zr 2.88-2.92, 1 Th 3.19

- Density of states at the Fermi level: 21.27 states/eV per cell

3.
Th2ZrTe | PBE | relaxed

Cell lengths 4.0455, 4.0455, 7.1093 Å; angles 90.00, 90.00, 90.00 degrees
Closest atoms and distances in Å follow each position.
Space group P4/mmm (No. 123)
Asymmetric unit:
Th: 0.0000 0.0000 0.2500 (multiplicity 2)  4 Zr 3.37, 4 Te 3.37, 2 Th 3.55
Zr: 0.5000 0.5000 0.0000 (multiplicity 1)  8 Th 3.37, 2 Te 3.55
Te: 0.5000 0.5000 0.5000 (multiplicity 1)  8 Th 3.37, 2 Zr 3.55

- Density of states at the Fermi level: 5.83 states/eV per cell

4.
ThZrTe | PBE | relaxed

Cell lengths 4.3919, 4.3919, 8.3396 Å; angles 90.00, 90.00, 90.00 degrees
Closest atoms and distances in Å follow each position.
Space group P4/nmm (No. 129, origin choice 2)
Asymmetric unit:
Th: 0.2500 0.2500 0.1489 (multiplicity 2)  5 Te 3.21-3.28
Zr: 0.2500 0.7500 0.5000 (multiplicity 2)  4 Te 3.06, 4 Zr 3.11
Te: 0.2500 0.2500 0.7553 (multiplicity 2)  4 Zr 3.06, 5 Th 3.21-3.28

- Density of states at the Fermi level: 5.56 states/eV per cell
- E above lowest polymorph: 0.0000 eV/atom

5.
ThZrTe4 | PBE | relaxed

Cell lengths 16.0246, 4.2561, 7.4433 Å; angles 90.00, 117.00, 90.00 degrees
Closest atoms and distances in Å follow each position.
Space group C2/m (No. 12)
Asymmetric unit:
Th: 0.0000 0.0000 0.0000 (multiplicity 2)  6 Te 3.13
Zr: 0.0000 0.5000 0.5000 (multiplicity 2)  6 Te 2.94-2.96
Te: 0.1213 0.0000 0.7686 (multiplicity 4)  2 Zr 2.96, 1 Th 3.13
Te: 0.1266 0.5000 0.3131 (multiplicity 4)  1 Zr 2.94, 2 Th 3.13

- E above lowest polymorph: 0.0000 eV/atom

6.
TiTe | PBE | relaxed

Cell lengths 9.8522, 9.8522, 4.0525 Å; angles 90.00, 90.00, 120.00 degrees
Closest atoms and distances in Å follow each position.
Space group P6_3/m (No. 176)
Asymmetric unit:
Ti: 0.1548 0.5074 0.2500 (multiplicity 6)  4 Te 2.74-2.82, 2 Ti 2.90
Te: 0.0222 0.6940 0.2500 (multiplicity 6)  4 Ti 2.74-2.82

- Density of states at the Fermi level: 10.12 states/eV per cell

7.
TiTe | PBE | relaxed

Cell lengths 7.6312, 8.3627, 11.0342 Å; angles 90.00, 90.00, 90.00 degrees
Closest atoms and distances in Å follow each position.
Space group Fddd (No. 70, origin choice 2)
Asymmetric unit:
Ti: 0.0585 0.3750 0.3750 (multiplicity 16)  6 Te 2.80-2.99, 1 Ti 2.80
Te: 0.1250 0.3352 0.6250 (multiplicity 16)  6 Ti 2.80-2.99

- Density of states at the Fermi level: 34.69 states/eV per cell

8.
TiTe | PBE | relaxed

Cell lengths 3.6570, 12.6687, 6.4433 Å; angles 90.00, 90.00, 90.00 degrees
Closest atoms and distances in Å follow each position.
Space group Pmmn (No. 59, origin choice 2)
Asymmetric unit:
Ti: 0.2500 0.1358 0.0018 (multiplicity 4)  4 Te 2.78-2.80, 3 Ti 2.89-3.03
Ti: 0.2500 0.7500 0.6971 (multiplicity 2)  4 Te 2.69-2.80
Te: 0.2500 0.2500 0.6311 (multiplicity 2)  4 Ti 2.79-2.80
Te: 0.2500 0.5386 0.7346 (multiplicity 4)  4 Ti 2.69-2.80

- Density of states at the Fermi level: 7.33 states/eV per cell

9.
TiTe | PBE | relaxed

Cell lengths 10.1981, 10.1981, 4.9172 Å; angles 90.00, 90.00, 90.00 degrees
Closest atoms and distances in Å follow each position.
Space group P4/m (No. 83)
Asymmetric unit:
Ti: 0.0364 0.3766 0.0000 (multiplicity 4)  1 Ti 2.62, 4 Te 2.74-2.85
Ti: 0.1182 0.5636 0.5000 (multiplicity 4)  4 Te 2.72-2.89, 3 Ti 2.74-2.98
Te: 0.1048 0.2808 0.5000 (multiplicity 4)  4 Ti 2.74-2.89
Te: 0.2315 0.5765 0.0000 (multiplicity 4)  4 Ti 2.72-2.85

- Density of states at the Fermi level: 16.11 states/eV per cell

10.
TiTe | PBE | relaxed

Cell lengths 11.6325, 11.6325, 3.6676 Å; angles 90.00, 90.00, 90.00 degrees
Closest atoms and distances in Å follow each position.
Space group I4/m (No. 87)
Asymmetric unit:
Ti: 0.1623 0.7113 0.0000 (multiplicity 8)  4 Te 2.71-2.75, 2 Ti 2.89
Te: 0.0679 0.2360 0.0000 (multiplicity 8)  4 Ti 2.71-2.75

- Density of states at the Fermi level: 18.52 states/eV per cell

11.
TiTe | PBE | relaxed

Cell lengths 5.6958, 5.6958, 5.6958 Å; angles 90.00, 90.00, 90.00 degrees
Closest atoms and distances in Å follow each position.
Space group Fm-3m (No. 225)
Asymmetric unit:
Ti: 0.0000 0.0000 0.0000 (multiplicity 4)  6 Te 2.85
Te: 0.0000 0.0000 0.5000 (multiplicity 4)  6 Ti 2.85

- Density of states at the Fermi level: 13.01 states/eV per cell

12.
Ti3Te | PBE | relaxed

Cell lengths 4.0604, 4.0604, 8.6509 Å; angles 90.00, 90.00, 90.00 degrees
Closest atoms and distances in Å follow each position.
Space group I4/mmm (No. 139)
Asymmetric unit:
Ti: 0.0000 0.0000 0.0000 (multiplicity 2)  4 Te 2.87, 8 Ti 2.97
Ti: 0.0000 0.5000 0.2500 (multiplicity 4)  8 Ti 2.87-2.97, 4 Te 2.97
Te: 0.0000 0.0000 0.5000 (multiplicity 2)  12 Ti 2.87-2.97

- Density of states at the Fermi level: 12.79 states/eV per cell

13.
Ti5Te6 | PBE | relaxed

Cell lengths 7.0436, 11.4386, 6.7317 Å; angles 90.00, 106.99, 90.00 degrees
Closest atoms and distances in Å follow each position.
Space group C2/m (No. 12)
Asymmetric unit:
Ti: 0.0000 0.0000 0.0000 (multiplicity 2)  6 Te 2.82-2.90
Ti: 0.0000 0.1273 0.5000 (multiplicity 4)  6 Te 2.73-3.05, 1 Ti 2.91
Ti: 0.0000 0.2998 0.0000 (multiplicity 4)  6 Te 2.75-2.91
Te: 0.2159 0.5000 0.2208 (multiplicity 4)  5 Ti 2.73-2.91
Te: 0.2273 0.3389 0.7258 (multiplicity 8)  5 Ti 2.75-3.05

- Density of states at the Fermi level: 18.31 states/eV per cell

14.
TiTe | PBE | relaxed

Cell lengths 5.7847, 7.5880, 8.7325 Å; angles 90.00, 90.00, 90.00 degrees
Closest atoms and distances in Å follow each position.
Space group P2_12_12_1 (No. 19)
Asymmetric unit:
Ti: 0.0055 0.1692 0.1181 (multiplicity 4)  5 Te 2.68-2.95, 3 Ti 2.84-2.91
Ti: 0.2357 0.9943 0.3721 (multiplicity 4)  6 Te 2.80-3.02, 3 Ti 2.84-2.91
Te: 0.0121 0.3542 0.8555 (multiplicity 4)  5 Ti 2.69-2.97
Te: 0.0128 0.8162 0.0998 (multiplicity 4)  4 Ti 2.68-2.85

- Density of states at the Fermi level: 14.74 states/eV per cell

15.
Ti3Te | PBE | relaxed

Cell lengths 4.0109, 4.1916, 4.2099 Å; angles 90.00, 90.00, 90.00 degrees
Closest atoms and distances in Å follow each position.
Space group Pmmm (No. 47)
Asymmetric unit:
Ti: 0.0000 0.0000 0.0000 (multiplicity 1)  4 Te 2.90, 8 Ti 2.91-2.97
Ti: 0.0000 0.5000 0.5000 (multiplicity 1)  8 Ti 2.90-2.97, 4 Te 2.91
Ti: 0.5000 0.0000 0.5000 (multiplicity 1)  8 Ti 2.90-2.91, 4 Te 2.97
Te: 0.5000 0.5000 0.0000 (multiplicity 1)  12 Ti 2.90-2.97

- Density of states at the Fermi level: 5.64 states/eV per cell

16.
Ti5Te | PBE | relaxed

Cell lengths 4.8446, 9.1105, 4.8251 Å; angles 90.00, 90.00, 90.00 degrees
Closest atoms and distances in Å follow each position.
Space group Cmmm (No. 65)
Asymmetric unit:
Ti: 0.0000 0.0000 0.0000 (multiplicity 2)  10 Ti 2.83-2.93
Ti: 0.0000 0.1625 0.5000 (multiplicity 4)  7 Ti 2.80-2.96, 3 Te 2.84-3.07
Ti: 0.0000 0.3194 0.0000 (multiplicity 4)  7 Ti 2.73-2.93, 2 Te 2.92
Te: 0.0000 0.5000 0.5000 (multiplicity 2)  10 Ti 2.84-3.07

- Density of states at the Fermi level: 19.90 states/eV per cell
- E above lowest polymorph: 0.0613 eV/atom

17.
TiTe | PBE | relaxed

Cell lengths 3.7728, 3.7728, 8.9400 Å; angles 90.00, 90.00, 120.00 degrees
Closest atoms and distances in Å follow each position.
Space group P6_3mc (No. 186)
Asymmetric unit:
Ti: 0.3333 0.6667 0.0000 (multiplicity 2)  4 Te 2.74-2.81
Te: 0.3333 0.6667 0.3144 (multiplicity 2)  4 Ti 2.74-2.81

- Density of states at the Fermi level: 2.98 states/eV per cell

18.
TiTe | PBE | relaxed

Cell lengths 8.4814, 8.4814, 8.4814 Å; angles 90.00, 90.00, 90.00 degrees
Closest atoms and distances in Å follow each position.
Space group I-43m (No. 217)
Asymmetric unit:
Ti: 0.1165 0.1165 0.1165 (multiplicity 8)  4 Te 2.74-2.84, 3 Ti 2.80
Te: 0.1899 0.1899 0.8101 (multiplicity 8)  4 Ti 2.74-2.84

- Density of states at the Fermi level: 13.53 states/eV per cell

19.
Ti3Te | PBE | relaxed

Cell lengths 4.8533, 5.6769, 5.1709 Å; angles 90.00, 90.00, 90.00 degrees
Closest atoms and distances in Å follow each position.
Space group Pmmn (No. 59, origin choice 2)
Asymmetric unit:
Ti: 0.2500 0.0008 0.1411 (multiplicity 4)  8 Ti 2.83-3.04, 4 Te 2.93-3.02
Ti: 0.2500 0.2500 0.6614 (multiplicity 2)  4 Te 2.84-2.90, 8 Ti 2.86-3.04
Te: 0.2500 0.7500 0.6458 (multiplicity 2)  12 Ti 2.84-3.02

- Density of states at the Fermi level: 11.42 states/eV per cell

20.
TiTe | PBE | relaxed

Cell lengths 5.6227, 5.6227, 5.6914 Å; angles 90.00, 90.00, 90.00 degrees
Closest atoms and distances in Å follow each position.
Space group P4_2/mnm (No. 136)
Asymmetric unit:
Ti: 0.1971 0.1971 0.0000 (multiplicity 4)  6 Te 2.77-2.94
Te: 0.2127 0.2127 0.5000 (multiplicity 4)  6 Ti 2.77-2.94

- Density of states at the Fermi level: 9.82 states/eV per cell

no.,formation energy (no corrections) (eV/atom),magnetic moment (μB per formula unit),E_tot (eV per atom)
1,-0.874,0.00,-5.6302
2,-0.725,0.00,-6.3819
3,-0.294,1.36,-6.9268
4,-0.668,0.00,-7.0382
5,-0.983,0.00,-5.7386
6,-0.373,0.51,-5.8910
7,-0.462,0.00,-5.9800
8,-0.449,0.49,-5.9672
9,-0.488,0.00,-6.0063
10,-0.272,0.00,-5.7900
11,-0.342,1.29,-5.8601
12,-0.241,0.13,-6.9478
13,-0.543,0.79,-5.8452
14,-0.468,0.00,-5.9860
15,-0.282,0.00,-6.9882
16,-0.121,0.00,-7.2236
17,-0.166,2.01,-5.6842
18,-0.387,1.01,-5.9051
19,-0.234,0.00,-6.9404
20,-0.374,0.44,-5.8923